P:
DFT (PBE-GGA) results for an optimized crystal structure of MnTcAu2.

The structure in CIF format:
```
data_MnTcAu2
_chemical_formula_sum 'Mn1 Tc1 Au2'
_cell_length_a 4.0378
_cell_length_b 4.0378
_cell_length_c 3.9913
_cell_angle_alpha 90.00
_cell_angle_beta 90.00
_cell_angle_gamma 90.00
_space_group_name_H-M_alt 'P 4/m m m'
_space_group_IT_number 123
_space_group_name_Hall '-P 4 2'
loop_
_atom_site_label
_atom_site_type_symbol
_atom_site_fract_x
_atom_site_fract_y
_atom_site_fract_z
_atom_site_occupancy
Mn1 Mn 0.0000 0.0000 0.0000 1
Tc1 Tc 0.5000 0.5000 0.0000 1
Au1 Au 0.0000 0.5000 0.5000 1
```

Computed properties:
Spin magnetization ... 0.65 μB per atom
V ... 16.269 Å³/atom


Q:
DFT (PBE-GGA) results for an optimized crystal structure of MnTcAu2.

The structure in CIF format:
```
data_MnTcAu2
_chemical_formula_sum 'Mn1 Tc1 Au2'
_cell_length_a 2.8385
_cell_length_b 2.8385
_cell_length_c 7.9185
_cell_angle_alpha 90.00
_cell_angle_beta 90.00
_cell_angle_gamma 90.00
_space_group_name_H-M_alt 'P 4 m m'
_space_group_IT_number 99
loop_
_space_group_symop_operation_xyz
'x,y,z'
'-y,x,z'
'-x,-y,z'
'y,-x,z'
'-x,y,z'
'y,x,z'
'x,-y,z'
'-y,-x,z'
loop_
_atom_site_label
_atom_site_type_symbol
_atom_site_fract_x
_atom_site_fract_y
_atom_site_fract_z
_atom_site_occupancy
Mn1 Mn 0.0000 0.0000 0.0000 1
Tc1 Tc 0.5000 0.5000 0.2009 1
Au1 Au 0.0000 0.0000 0.4670 1
Au2 Au 0.5000 0.5000 0.7520 1
```

Computed properties:
Spin magnetization ... 0.59 μB per atom
V ... 15.950 Å³/atom


It is P that is the least stable of them.


P:
DFT (PBE-GGA) results for an optimized crystal structure of MnTcAu2.

The structure in CIF format:
```
data_MnTcAu2
_chemical_formula_sum 'Mn2 Tc2 Au4'
_cell_length_a 9.4368
_cell_length_b 2.8302
_cell_length_c 4.9133
_cell_angle_alpha 90.00
_cell_angle_beta 99.75
_cell_angle_gamma 90.00
_space_group_name_H-M_alt 'C 1 2/m 1'
_space_group_IT_number 12
loop_
_space_group_symop_operation_xyz
'x,y,z'
'-x,-y,-z'
'-x,y,-z'
'x,-y,z'
'x+1/2,y+1/2,z'
'-x+1/2,-y+1/2,-z'
'-x+1/2,y+1/2,-z'
'x+1/2,-y+1/2,z'
loop_
_atom_site_label
_atom_site_type_symbol
_atom_site_fract_x
_atom_site_fract_y
_atom_site_fract_z
_atom_site_occupancy
Mn1 Mn 0.0000 0.0000 0.0000 1
Tc1 Tc 0.0000 0.5000 0.5000 1
Au1 Au 0.2492 0.0000 0.7495 1
```

Computed properties:
Spin magnetization ... 0.76 μB per atom
V ... 16.166 Å³/atom


Q:
DFT (PBE-GGA) results for an optimized crystal structure of MnTcAu2.

The structure in CIF format:
```
data_MnTcAu2
_chemical_formula_sum 'Mn1 Tc1 Au2'
_cell_length_a 2.7736
_cell_length_b 4.0802
_cell_length_c 5.7108
_cell_angle_alpha 90.00
_cell_angle_beta 90.09
_cell_angle_gamma 90.00
_space_group_name_H-M_alt 'P 1 2/m 1'
_space_group_IT_number 10
loop_
_space_group_symop_operation_xyz
'x,y,z'
'-x,-y,-z'
'-x,y,-z'
'x,-y,z'
loop_
_atom_site_label
_atom_site_type_symbol
_atom_site_fract_x
_atom_site_fract_y
_atom_site_fract_z
_atom_site_occupancy
Mn1 Mn 0.0000 0.0000 0.0000 1
Tc1 Tc 0.0000 0.0000 0.5000 1
Au1 Au 0.4995 0.5000 0.2510 1
```

Computed properties:
Spin magnetization ... 0.85 μB per atom
V ... 16.157 Å³/atom


R:
DFT (PBE-GGA) results for an optimized crystal structure of MnTcAu2.

The structure in CIF format:
```
data_MnTcAu2
_chemical_formula_sum 'Mn4 Tc4 Au8'
_cell_length_a 6.3956
_cell_length_b 6.3956
_cell_length_c 6.3956
_cell_angle_alpha 90.00
_cell_angle_beta 90.00
_cell_angle_gamma 90.00
_space_group_name_H-M_alt 'F -4 3 m'
_space_group_IT_number 216
_space_group_name_Hall 'F -4 2 3'
loop_
_atom_site_label
_atom_site_type_symbol
_atom_site_fract_x
_atom_site_fract_y
_atom_site_fract_z
_atom_site_occupancy
Mn1 Mn 0.0000 0.0000 0.0000 1
Tc1 Tc 0.2500 0.2500 0.2500 1
Au1 Au 0.0000 0.0000 0.5000 1
Au2 Au 0.2500 0.2500 0.7500 1
```

Computed properties:
Spin magnetization ... 0.53 μB per atom
V ... 16.351 Å³/atom


S:
DFT (PBE-GGA) results for an optimized crystal structure of MnTcAu2.

The structure in CIF format:
```
data_MnTcAu2
_chemical_formula_sum 'Mn3 Tc3 Au6'
_cell_length_a 2.7633
_cell_length_b 2.7633
_cell_length_c 28.2432
_cell_angle_alpha 90.00
_cell_angle_beta 90.00
_cell_angle_gamma 120.00
_space_group_name_H-M_alt 'R 3 m'
_space_group_IT_number 160
_space_group_name_Hall 'R 3 -2"'
loop_
_atom_site_label
_atom_site_type_symbol
_atom_site_fract_x
_atom_site_fract_y
_atom_site_fract_z
_atom_site_occupancy
Mn1 Mn 0.0000 0.0000 0.0000 1
Tc1 Tc 0.0000 0.0000 0.2665 1
Au1 Au 0.0000 0.0000 0.5104 1
Au2 Au 0.0000 0.0000 0.7491 1
```

Computed properties:
Spin magnetization ... 0.00 μB per atom
V ... 15.564 Å³/atom


It is R that is the least stable of them.